# 1
A plane-wave DFT calculation with GGA-PBE was carried out for an optimized crystal structure of GaFeNiOs.

a b c (Å): 4.1936 4.1936 4.1936
angles (deg): 60.00 60.00 60.00
With the nearest neighbours (Å) after each atom.
Fractional positions:
Ni (0.0000, 0.0000, 0.0000)  4 Fe 2.57, 4 Ga 2.57
Os (0.5000, 0.5000, 0.5000)  4 Fe 2.57, 4 Ga 2.57
Fe (0.7500, 0.7500, 0.7500)  4 Ni 2.57, 4 Os 2.57
Ga (0.2500, 0.2500, 0.2500)  4 Os 2.57, 4 Ni 2.57

- Electronic total energy: -7.14 eV per atom
- Total magnetization: 4.1 Bohr magnetons per cell
- E_form: -0.0141 eV per atom

---

# 2
A plane-wave DFT calculation with GGA-PBE was carried out for an optimized crystal structure of PaGaFeNi.

a b c (Å): 4.4738 4.4738 4.4738
angles (deg): 60.00 60.00 60.00
With the nearest neighbours (Å) after each atom.
Fractional positions:
Ni (0.2500, 0.2500, 0.2500)  4 Pa 2.74, 4 Ga 2.74
Pa (0.0000, 0.0000, 0.0000)  4 Fe 2.74, 4 Ni 2.74
Fe (0.7500, 0.7500, 0.7500)  4 Pa 2.74, 4 Ga 2.74
Ga (0.5000, 0.5000, 0.5000)  4 Ni 2.74, 4 Fe 2.74

- Electronic total energy: -6.92 eV per atom
- Total magnetization: 0.6 Bohr magnetons per cell
- E_form: -0.2265 eV per atom

---

# 3
A plane-wave DFT calculation with GGA-PBE was carried out for an optimized crystal structure of Ga2FeNi7Pd2.

a b c (Å): 3.3448 3.3448 14.2060
angles (deg): 82.83 82.83 89.99
With the nearest neighbours (Å) after each atom.
Fractional positions:
Ga (0.8097, 0.8097, 0.3669)  4 Ni 2.42-2.70, 4 Pd 2.66-2.70
Ga (0.1903, 0.1903, 0.6331)  4 Ni 2.42-2.70, 4 Pd 2.66-2.70
Fe (0.0000, 0.0000, 0.0000)  12 Ni 2.36-2.49
Ni (0.5000, 0.5000, 0.0000)  4 Fe 2.36-2.37, 8 Ni 2.48-2.49
Ni (0.2705, 0.2705, 0.4600)  4 Ga 2.42-2.70, 1 Pd 2.56, 4 Ni 2.61-2.62
Ni (0.7295, 0.7295, 0.5400)  4 Ga 2.42-2.70, 1 Pd 2.56, 4 Ni 2.61-2.62
Ni (0.9297, 0.4296, 0.1314)  6 Ni 2.36-2.49, 2 Fe 2.48-2.49, 2 Pd 2.63
Ni (0.4296, 0.9297, 0.1314)  6 Ni 2.36-2.49, 2 Fe 2.48-2.49, 2 Pd 2.63
Ni (0.5704, 0.0703, 0.8686)  6 Ni 2.36-2.49, 2 Fe 2.48-2.49, 2 Pd 2.63
Ni (0.0703, 0.5704, 0.8686)  6 Ni 2.36-2.49, 2 Fe 2.48-2.49, 2 Pd 2.63
Pd (0.6463, 0.6463, 0.7233)  5 Ni 2.56-2.63, 4 Ga 2.66-2.70
Pd (0.3537, 0.3537, 0.2767)  5 Ni 2.56-2.63, 4 Ga 2.66-2.70

- Electronic total energy: -5.48 eV per atom
- Total magnetization: 5.9 Bohr magnetons per cell
- E_form: -0.0367 eV per atom

---

# 4
A plane-wave DFT calculation with GGA-PBE was carried out for an optimized crystal structure of Pu2Ga4FeNi3.

a b c (Å): 4.1681 4.1681 9.6023
angles (deg): 90.00 90.00 90.00
With the nearest neighbours (Å) after each atom.
Fractional positions:
Pu (0.5000, 0.0000, 0.2617)  2 Fe 3.09, 6 Ni 3.09-3.21, 8 Ga 3.13-3.26
Pu (0.0000, 0.5000, 0.7383)  2 Fe 3.09, 6 Ni 3.09-3.21, 8 Ga 3.13-3.26
Ga (0.5000, 0.5000, 0.0000)  4 Ni 2.42
Ga (0.0000, 0.0000, 0.0000)  4 Ni 2.42
Ga (0.5000, 0.0000, 0.6272)  3 Ni 2.35-2.42, 2 Fe 2.42
Ga (0.0000, 0.5000, 0.3728)  3 Ni 2.35-2.42, 2 Fe 2.42
Fe (0.5000, 0.5000, 0.5000)  4 Ga 2.42
Ni (0.0000, 0.0000, 0.5000)  4 Ga 2.42
Ni (0.5000, 0.0000, 0.8718)  5 Ga 2.35-2.42
Ni (0.0000, 0.5000, 0.1282)  5 Ga 2.35-2.42

- Electronic total energy: -6.97 eV per atom
- Total magnetization: 9.6 Bohr magnetons per cell
- E_form: -0.3162 eV per atom

---

# 5
A plane-wave DFT calculation with GGA-PBE was carried out for an optimized crystal structure of RbGaFeNi2.

a b c (Å): 4.5196 5.4287 4.5196
angles (deg): 90.00 90.00 90.00
With the nearest neighbours (Å) after each atom.
Fractional positions:
Ni (0.0000, 0.0000, 0.5000)  2 Fe 2.26
Ni (0.5000, 0.0000, 0.0000)  2 Fe 2.26
Ga (0.5000, 0.5000, 0.5000)  4 Rb 3.20, 8 Ni 3.53
Rb (0.0000, 0.5000, 0.0000)  2 Fe 2.71
Fe (0.0000, 0.0000, 0.0000)  4 Ni 2.26

- Electronic total energy: -3.48 eV per atom
- E above lowest polymorph: 457.0 meV/atom
- Total magnetization: 0.3 Bohr magnetons per cell
- E_form: 1.3263 eV per atom

---

# 6
A plane-wave DFT calculation with GGA-PBE was carried out for an optimized crystal structure of RbGaFeNi2.

a b c (Å): 4.5957 4.6996 4.5957
angles (deg): 90.00 90.00 90.00
With the nearest neighbours (Å) after each atom.
Fractional positions:
Ni (0.0000, 0.0000, 0.5000)  2 Ga 2.30
Ni (0.5000, 0.0000, 0.0000)  2 Ga 2.30
Ga (0.0000, 0.0000, 0.0000)  4 Ni 2.30, 2 Fe 2.35
Rb (0.5000, 0.5000, 0.5000)  4 Fe 3.25, 8 Ni 3.29
Fe (0.0000, 0.5000, 0.0000)  2 Ga 2.35

- Electronic total energy: -3.93 eV per atom
- E above lowest polymorph: 0.0 meV/atom
- Total magnetization: 2.3 Bohr magnetons per cell
- E_form: 0.8694 eV per atom

---

# 7
A plane-wave DFT calculation with GGA-PBE was carried out for an optimized crystal structure of GaFe2ReNi.

a b c (Å): 4.5183 4.5553 4.5183
angles (deg): 90.00 90.00 90.00
With the nearest neighbours (Å) after each atom.
Fractional positions:
Re (0.0000, 0.0000, 0.0000)  4 Fe 2.26, 2 Ni 2.28
Fe (0.0000, 0.0000, 0.5000)  2 Re 2.26
Fe (0.5000, 0.0000, 0.0000)  2 Re 2.26
Ga (0.5000, 0.5000, 0.5000)  4 Ni 3.19, 8 Fe 3.21
Ni (0.0000, 0.5000, 0.0000)  2 Re 2.28

- Electronic total energy: -6.27 eV per atom
- Total magnetization: 4.1 Bohr magnetons per cell
- E_form: 1.3671 eV per atom

---

# 8
A plane-wave DFT calculation with GGA-PBE was carried out for an optimized crystal structure of GaFeNiRh.

a b c (Å): 4.1847 4.1847 4.1847
angles (deg): 60.00 60.00 60.00
With the nearest neighbours (Å) after each atom.
Fractional positions:
Ni (0.2500, 0.2500, 0.2500)  4 Fe 2.56, 4 Ga 2.56
Rh (0.7500, 0.7500, 0.7500)  4 Fe 2.56, 4 Ga 2.56
Fe (0.5000, 0.5000, 0.5000)  4 Ni 2.56, 4 Rh 2.56
Ga (0.0000, 0.0000, 0.0000)  4 Ni 2.56, 4 Rh 2.56

- Electronic total energy: -6.44 eV per atom
- Total magnetization: 3.4 Bohr magnetons per cell
- E_form: -0.2840 eV per atom

---

# 9
A plane-wave DFT calculation with GGA-PBE was carried out for an optimized crystal structure of Ga2FeNiSb.

a b c (Å): 4.4384 4.4384 4.6828
angles (deg): 90.00 90.00 90.00
With the nearest neighbours (Å) after each atom.
Fractional positions:
Sb (0.0000, 0.0000, 0.5000)  2 Fe 2.34
Fe (0.0000, 0.0000, 0.0000)  4 Ga 2.22, 2 Sb 2.34
Ga (0.0000, 0.5000, 0.0000)  2 Fe 2.22
Ga (0.5000, 0.0000, 0.0000)  2 Fe 2.22
Ni (0.5000, 0.5000, 0.5000)  4 Sb 3.14, 8 Ga 3.23

- Uncorrected formation energy: 0.446 eV per atom
- Electronic total energy: -4.44 eV per atom
- Total magnetization: 0.0 Bohr magnetons per cell

---

# 10
A plane-wave DFT calculation with GGA-PBE was carried out for an optimized crystal structure of ScGaFeNi.

a b c (Å): 4.2467 4.2467 4.2467
angles (deg): 60.00 60.00 60.00
With the nearest neighbours (Å) after each atom.
Fractional positions:
Sc (0.0000, 0.0000, 0.0000)  4 Ni 2.60, 4 Fe 2.60
Ni (0.2500, 0.2500, 0.2500)  4 Ga 2.60, 4 Sc 2.60
Fe (0.7500, 0.7500, 0.7500)  4 Sc 2.60, 4 Ga 2.60
Ga (0.5000, 0.5000, 0.5000)  4 Fe 2.60, 4 Ni 2.60

- Electronic total energy: -6.24 eV per atom
- Total magnetization: 0.0 Bohr magnetons per cell
- E_form: -0.3408 eV per atom

---

# 11
A plane-wave DFT calculation with GGA-PBE was carried out for an optimized crystal structure of Sc2GaFe2Ni5.

a b c (Å): 3.6797 8.5746 8.5746
angles (deg): 90.00 90.00 90.00
With the nearest neighbours (Å) after each atom.
Fractional positions:
Sc (0.0000, 0.6761, 0.1761)  3 Fe 2.44-2.60
Sc (0.0000, 0.3239, 0.8239)  3 Fe 2.44-2.60
Sc (0.0000, 0.1761, 0.3239)  3 Fe 2.44-2.60
Sc (0.0000, 0.8239, 0.6761)  3 Fe 2.44-2.60
Ga (0.0000, 0.0000, 0.0000)  8 Ni 2.61
Ga (0.0000, 0.5000, 0.5000)  8 Ni 2.61
Fe (0.0000, 0.1227, 0.6227)  6 Ni 2.37-2.40, 3 Sc 2.44-2.60
Fe (0.0000, 0.8773, 0.3773)  6 Ni 2.37-2.40, 3 Sc 2.44-2.60
Fe (0.0000, 0.6227, 0.8773)  6 Ni 2.37-2.40, 3 Sc 2.44-2.60
Fe (0.0000, 0.3773, 0.1227)  6 Ni 2.37-2.40, 3 Sc 2.44-2.60
Ni (0.5000, 0.2068, 0.0646)  2 Fe 2.40, 3 Ni 2.57-2.63, 2 Ga 2.61
Ni (0.5000, 0.7932, 0.9354)  2 Fe 2.40, 3 Ni 2.57-2.63, 2 Ga 2.61
Ni (0.5000, 0.0646, 0.7932)  2 Fe 2.40, 3 Ni 2.57-2.63, 2 Ga 2.61
Ni (0.5000, 0.7068, 0.4354)  2 Fe 2.40, 3 Ni 2.57-2.63, 2 Ga 2.61
Ni (0.5000, 0.9354, 0.2068)  2 Fe 2.40, 3 Ni 2.57-2.63, 2 Ga 2.61
Ni (0.5000, 0.2932, 0.5646)  2 Fe 2.40, 3 Ni 2.57-2.63, 2 Ga 2.61
Ni (0.5000, 0.5646, 0.7068)  2 Fe 2.40, 3 Ni 2.57-2.63, 2 Ga 2.61
Ni (0.5000, 0.4354, 0.2932)  2 Fe 2.40, 3 Ni 2.57-2.63, 2 Ga 2.61
Ni (0.5000, 0.5000, 0.0000)  4 Fe 2.37, 4 Ni 2.57
Ni (0.5000, 0.0000, 0.5000)  4 Fe 2.37, 4 Ni 2.57

- Electronic total energy: -6.39 eV per atom
- Total magnetization: 11.4 Bohr magnetons per cell
- E_form: -0.2394 eV per atom

---

# 12
A plane-wave DFT calculation with GGA-PBE was carried out for an optimized crystal structure of GaFeSiNi.

a b c (Å): 4.0430 4.0430 4.0430
angles (deg): 60.00 60.00 60.00
With the nearest neighbours (Å) after each atom.
Fractional positions:
Ni (0.7500, 0.7500, 0.7500)  4 Ga 2.48, 4 Si 2.48
Si (0.5000, 0.5000, 0.5000)  4 Ni 2.48, 4 Fe 2.48
Fe (0.2500, 0.2500, 0.2500)  4 Si 2.48, 4 Ga 2.48
Ga (0.0000, 0.0000, 0.0000)  4 Fe 2.48, 4 Ni 2.48

- Uncorrected formation energy: -0.261 eV per atom
- Electronic total energy: -5.93 eV per atom
- Total magnetization: 1.3 Bohr magnetons per cell